[1]
# CdRhBr2

A geometry-optimized CdRhBr2 structure (PBE, Alexandria). Values from VASP.

Geometry as Quantum ESPRESSO input:
```
&SYSTEM
  ibrav = 0, nat = 4, ntyp = 3
/
ATOMIC_SPECIES
Rh 102.91 Rh.upf
Cd 112.41 Cd.upf
Br 79.90 Br.upf
CELL_PARAMETERS angstrom
-3.114 -1.233 1.268
0.510 -3.394 -2.050
3.755 -4.641 4.706
ATOMIC_POSITIONS angstrom
Rh 1.488 -7.067 1.836
Cd 2.409 -4.434 1.602
Br 3.880 -7.156 2.566
Br -0.228 -2.662 1.906
```

Properties
Excess energy over the best structure of this formula in the dataset ... 32 meV/atom
Magnetization ... 0.0 μB/f.u.
VASP energy ... -12.4 eV for the cell shown
Energy relative to the elements, uncorrected ... -0.20 eV/atom
Theoretical density ... 5.93 g/cm3

[2]
# CdRhBr

A geometry-optimized CdRhBr structure (PBE, Alexandria). Values from VASP.

Geometry as Quantum ESPRESSO input:
```
&SYSTEM
  ibrav = 0, nat = 3, ntyp = 3
/
ATOMIC_SPECIES
Br 79.90 Br.upf
Cd 112.41 Cd.upf
Rh 102.91 Rh.upf
CELL_PARAMETERS angstrom
3.439 0.000 0.000
-1.720 2.978 0.000
0.000 0.000 6.092
ATOMIC_POSITIONS angstrom
Br 0.000 0.000 5.878
Cd 0.000 1.986 2.196
Rh 1.720 0.993 4.111
```

Properties
Excess energy over the best structure of this formula in the dataset ... 0 meV/atom
Magnetization ... 0.6 μB/f.u.
VASP energy ... -9.5 eV for the cell shown
Energy relative to the elements, uncorrected ... 0.13 eV/atom
Theoretical density ... 7.86 g/cm3

[3]
# CdRhBr2

A geometry-optimized CdRhBr2 structure (PBE, Alexandria). Values from VASP.

Geometry as Quantum ESPRESSO input:
```
&SYSTEM
  ibrav = 0, nat = 4, ntyp = 3
/
ATOMIC_SPECIES
Cd 112.41 Cd.upf
Br 79.90 Br.upf
Rh 102.91 Rh.upf
CELL_PARAMETERS angstrom
7.483 0.150 -0.006
5.166 5.416 0.006
-5.967 -3.596 2.736
ATOMIC_POSITIONS angstrom
Cd 3.920 -0.331 1.365
Br 1.358 0.598 0.000
Br 4.966 2.185 0.000
Rh 2.762 2.302 1.371
```

Properties
Excess energy over the best structure of this formula in the dataset ... 76 meV/atom
Magnetization ... 0.4 μB/f.u.
VASP energy ... -12.2 eV for the cell shown
Energy relative to the elements, uncorrected ... -0.16 eV/atom
Theoretical density ... 5.72 g/cm3

[4]
# CdRh2Br

A geometry-optimized CdRh2Br structure (PBE, Alexandria). Values from VASP.

Geometry as Quantum ESPRESSO input:
```
&SYSTEM
  ibrav = 0, nat = 4, ntyp = 3
/
ATOMIC_SPECIES
Rh 102.91 Rh.upf
Br 79.90 Br.upf
Cd 112.41 Cd.upf
CELL_PARAMETERS angstrom
8.642 -0.001 -0.001
8.097 3.019 -0.001
8.097 1.460 2.643
ATOMIC_POSITIONS angstrom
Rh 12.518 2.257 1.331
Rh 24.737 4.459 2.630
Br 6.209 1.119 0.660
Cd 18.627 3.358 1.981
```

Properties
Excess energy over the best structure of this formula in the dataset ... 154 meV/atom
Magnetization ... 0.0 μB/f.u.
VASP energy ... -16.2 eV for the cell shown
Energy relative to the elements, uncorrected ... 0.28 eV/atom
Theoretical density ... 9.58 g/cm3

Question: Which value of VASP energy does entry 4 give?
Answer: -16.2 eV for the cell shown